# 1
# Pm12Zn5Hg3 PBE-GGA optimized geometry
data_Pm12Zn5Hg3
_space_group_name_H-M_alt 'P 1'
_space_group_IT_number 1
_cell_length_a 15.2179
_cell_length_b 15.2179
_cell_length_c 15.2179
_cell_angle_alpha 109.47
_cell_angle_beta 109.47
_cell_angle_gamma 109.47
loop_
_space_group_symop_operation_xyz
'x,y,z'
loop_
_atom_site_label
_atom_site_fract_x
_atom_site_fract_y
_atom_site_fract_z
Zn1 0.3750 0.2500 0.1250
Zn2 0.5000 0.5000 0.0000
Zn3 0.5000 0.0000 0.5000
Zn4 0.0000 0.5000 0.0000
Zn5 0.0000 0.0000 0.0000
Zn6 0.8750 0.6250 0.7500
Zn7 0.8750 0.2500 0.6250
Zn8 0.1250 0.7500 0.3750
Zn9 0.2500 0.8750 0.1250
Zn10 0.7500 0.1250 0.8750
Zn11 0.7500 0.6250 0.3750
Zn12 0.1250 0.3750 0.2500
Zn13 0.6250 0.7500 0.8750
Zn14 0.3750 0.1250 0.7500
Zn15 0.2500 0.3750 0.6250
Zn16 0.0000 0.0000 0.5000
Zn17 0.5000 0.0000 0.0000
Zn18 0.5000 0.5000 0.5000
Zn19 0.0000 0.5000 0.5000
Zn20 0.6250 0.8750 0.2500
Hg1 0.6250 0.3750 0.7500
Hg2 0.8750 0.1250 0.2500
Hg3 0.3750 0.7500 0.6250
Hg4 0.7500 0.8750 0.6250
Hg5 0.8750 0.7500 0.1250
Hg6 0.1250 0.8750 0.7500
Hg7 0.3750 0.6250 0.2500
Hg8 0.2500 0.1250 0.3750
Hg9 0.7500 0.3750 0.1250
Hg10 0.2500 0.6250 0.8750
Hg11 0.6250 0.2500 0.3750
Hg12 0.1250 0.2500 0.8750
Pm1 0.5880 0.7193 0.6673
Pm2 0.5792 0.6313 0.4120
Pm3 0.7193 0.1313 0.0520
Pm4 0.1673 0.0880 0.7193
Pm5 0.9480 0.5792 0.1673
Pm6 0.0520 0.4208 0.8327
Pm7 0.7807 0.4480 0.3687
Pm8 0.2807 0.4120 0.8327
Pm9 0.3687 0.4208 0.0880
Pm10 0.1313 0.7193 0.5520
Pm11 0.3327 0.7807 0.4120
Pm12 0.8687 0.2807 0.4480
Pm13 0.0792 0.1673 0.4480
Pm14 0.7807 0.3327 0.9120
Pm15 0.8327 0.9120 0.2807
Pm16 0.3687 0.9480 0.7807
Pm17 0.1313 0.4120 0.0792
Pm18 0.5792 0.9480 0.6673
Pm19 0.0880 0.9208 0.3687
Pm20 0.2193 0.6673 0.0880
Pm21 0.5520 0.2193 0.1313
Pm22 0.6313 0.5792 0.9120
Pm23 0.9120 0.0792 0.6313
Pm24 0.0792 0.9120 0.1313
Pm25 0.4120 0.1313 0.5792
Pm26 0.6673 0.2193 0.5880
Pm27 0.8687 0.5880 0.9208
Pm28 0.2193 0.5520 0.6313
Pm29 0.9480 0.3687 0.2807
Pm30 0.6673 0.4480 0.5792
Pm31 0.6313 0.0520 0.2193
Pm32 0.3327 0.5520 0.4208
Pm33 0.4208 0.3687 0.5880
Pm34 0.7193 0.5880 0.1673
Pm35 0.0520 0.6313 0.7193
Pm36 0.4208 0.0520 0.3327
Pm37 0.8327 0.9208 0.0520
Pm38 0.2807 0.8687 0.9480
Pm39 0.9120 0.8327 0.7807
Pm40 0.4480 0.7807 0.8687
Pm41 0.4480 0.6673 0.0792
Pm42 0.1673 0.0792 0.9480
Pm43 0.9208 0.0880 0.8687
Pm44 0.0880 0.1673 0.2193
Pm45 0.9208 0.8327 0.5520
Pm46 0.4120 0.2807 0.3327
Pm47 0.5520 0.3327 0.9208
Pm48 0.5880 0.8687 0.4208
# E_form ... 149 meV/atom
# Symmetry ... Ia-3d, No. 230

# 2
# RbSm2Rh PBE-GGA optimized geometry
data_RbSm2Rh
_space_group_name_H-M_alt 'P 1'
_space_group_IT_number 1
_cell_length_a 4.1654
_cell_length_b 4.1654
_cell_length_c 11.5969
_cell_angle_alpha 79.65
_cell_angle_beta 79.65
_cell_angle_gamma 60.00
loop_
_space_group_symop_operation_xyz
'x,y,z'
loop_
_atom_site_label
_atom_site_fract_x
_atom_site_fract_y
_atom_site_fract_z
Sm1 0.1242 0.1242 0.6274
Sm2 0.8758 0.8758 0.3726
Rh1 0.5000 0.5000 0.5000
Rb1 0.0000 0.0000 0.0000
# E_form ... -239 meV/atom
# Symmetry ... R-3m, No. 166

# 3
# CoRe2W PBE-GGA optimized geometry
data_CoRe2W
_space_group_name_H-M_alt 'P 1'
_space_group_IT_number 1
_cell_length_a 4.6810
_cell_length_b 4.6810
_cell_length_c 4.7397
_cell_angle_alpha 80.44
_cell_angle_beta 80.44
_cell_angle_gamma 34.05
loop_
_space_group_symop_operation_xyz
'x,y,z'
loop_
_atom_site_label
_atom_site_fract_x
_atom_site_fract_y
_atom_site_fract_z
W1 0.5050 0.5050 0.4853
Co1 0.2521 0.2521 0.2491
Re1 0.7484 0.7484 0.7609
Re2 0.9945 0.9945 0.0047
# E_form ... 140 meV/atom
# Excess energy over the best structure of this formula in the dataset ... 2.21 kcal/mol of atoms
# Symmetry ... Cm, No. 8